VASP calculation (PBE) on crystalline Ca2LaGe at its relaxed geometry.

Output
- DOS at the Fermi energy (states/eV/atom) = 1.043
- M_tot (μB/f.u.) = 0.0
- theoretical density (Mg/m³) = 3.44
- SG = No. 122
- energy of formation from the pure elements (meV per atom) = -131

```
data_Ca2LaGe
_cell_length_a 7.373
_cell_length_b 7.373
_cell_length_c 7.373
_cell_angle_alpha 100.80
_cell_angle_beta 100.80
_cell_angle_gamma 128.71
_symmetry_space_group_name_H-M 'P 1'
_symmetry_Int_Tables_number 1
_symmetry_space_group_name_Hall 'P 1'
loop_
_atom_site_label
_atom_site_type_symbol
_atom_site_fract_x
_atom_site_fract_y
_atom_site_fract_z
Ca1 Ca 0.045 0.625 0.920
Ca2 Ca 0.375 0.295 0.420
Ca3 Ca 0.705 0.125 0.080
Ca4 Ca 0.875 0.955 0.580
La1 La 0.250 0.750 0.500
La2 La 0.500 0.500 0.000
Ge1 Ge 0.000 0.000 0.000
Ge2 Ge 0.750 0.250 0.500
```